PdS2ClF | PBE-GGA | relaxed

Unit cell a=4.0613 b=4.0613 c=5.9529 alpha=90.00 beta=90.00 gamma=90.00
Element x y z (fractional)
S  0.0000  0.5000  0.0000
S  0.5000  0.0000  0.0000
F  0.0000  0.0000  0.0000
Pd  0.5000  0.5000  0.5000
Cl  0.0000  0.0000  0.5000

Energy above the lowest structure with this stoichiometry = 330 meV/atom



Li4LaPu3O12 | PBE-GGA | relaxed

Unit cell a=6.9465 b=6.9465 c=6.9465 alpha=106.44 beta=106.44 gamma=106.44
Element x y z (fractional)
Li  0.9347  0.0653  0.5000
Li  0.0653  0.5000  0.9347
Li  0.5000  0.9347  0.0653
Li  0.5000  0.5000  0.5000
La  0.0000  0.0000  0.0000
Pu  0.5585  0.4415  0.0000
Pu  0.4415  0.0000  0.5585
Pu  0.0000  0.5585  0.4415
O  0.5000  0.3344  0.6656
O  0.8957  0.5000  0.1043
O  0.1043  0.8957  0.5000
O  0.5000  0.1043  0.8957
O  0.3373  0.9699  0.2388
O  0.2388  0.3373  0.9699
O  0.9699  0.2388  0.3373
O  0.6627  0.7612  0.0301
O  0.0301  0.6627  0.7612
O  0.7612  0.0301  0.6627
O  0.6656  0.5000  0.3344
O  0.3344  0.6656  0.5000



Cs2InPI6 | PBE-GGA | relaxed

Unit cell a=8.5352 b=8.5352 c=8.5265 alpha=59.97 beta=59.97 gamma=90.00
Element x y z (fractional)
Cs  0.7500  0.2500  0.5000
Cs  0.2500  0.7500  0.5000
I  0.2647  0.2647  0.4706
I  0.7353  0.7353  0.5294
I  0.2656  0.2656  0.0000
I  0.7344  0.7344  0.0000
I  0.7344  0.2656  0.0000
I  0.2656  0.7344  0.0000
P  0.5000  0.5000  0.0000
In  0.0000  0.0000  0.0000



LaY2OsO8 | PBE-GGA | relaxed

Unit cell a=5.0784 b=5.0786 c=6.9680 alpha=90.00 beta=90.00 gamma=89.66
Element x y z (fractional)
La  0.0000  0.0000  0.5000
Y  0.5000  0.5000  0.7492
Y  0.5000  0.5000  0.2508
Os  0.0000  0.0000  0.0000
O  0.1852  0.8144  0.1987
O  0.7358  0.7364  0.0000
O  0.8148  0.1856  0.1987
O  0.8148  0.1856  0.8013
O  0.2642  0.2636  0.0000
O  0.1852  0.8144  0.8013
O  0.6842  0.6842  0.5000
O  0.3158  0.3158  0.5000



no.,uncorrected energy (eV/f.u.),raw formation energy (eV per formula unit)
1,-13.5,3.64
2,-164.9,-49.80
3,-26.5,-7.39
4,-98.9,-30.15